Version one
CsSb2PI | Alexandria via LeMat-Bulk | PBE | relaxed; theoretical density = 3.5 g cm⁻³; size of the total moment = 0.00 μB/atom
1.0
-4.1349 -1.0592 -2.9960
3.1753 -1.1856 -3.9632
0.2190 -8.7834 2.8029
Cs I P Sb
1 1 1 2
direct
0.5000 0.5000 0.5000
0.0000 0.0000 0.5000
0.0000 0.0000 0.0000
0.0000 0.5000 0.0000
0.5000 0.0000 0.0000



Version two
CsSb2PI | Alexandria via LeMat-Bulk | PBE | relaxed; theoretical density = 3.1 g cm⁻³; size of the total moment = 1.15 μB/atom
1.0
-4.3950 -4.6793 1.1491
2.5858 -0.9782 5.9067
-4.2442 4.6310 2.6249
Cs I P Sb
1 1 1 2
direct
0.0000 0.0000 0.0000
0.0000 0.0000 0.5000
0.5000 0.5000 0.5000
0.0000 0.5000 0.0000
0.5000 0.0000 0.0000



List of relative energies, unit eV/atom: version one 0.000; version two 1.493